Record 1
! NbTeCl9 (PBE, optimized geometry); values from VASP
! **Energy above the lowest structure with this stoichiometry**: 1.04 kJ/mol of atoms
! **M_tot**: 0.000 μB per cell
! **Raw formation energy**: -0.941 eV/atom
&SYSTEM
  ibrav = 0, nat = 22, ntyp = 3
/
ATOMIC_SPECIES
Nb 92.91 Nb.upf
Te 127.60 Te.upf
Cl 35.45 Cl.upf
ATOMIC_POSITIONS crystal
Nb 0.130 0.270 0.716
Nb 0.870 0.730 0.284
Te 0.304 0.344 0.163
Te 0.696 0.656 0.837
Cl 0.481 0.141 0.153
Cl 0.519 0.859 0.847
Cl 0.283 0.375 0.362
Cl 0.717 0.625 0.638
Cl 0.101 0.740 0.464
Cl 0.899 0.260 0.536
Cl 0.726 0.496 0.275
Cl 0.274 0.504 0.725
Cl 0.015 0.934 0.270
Cl 0.985 0.066 0.730
Cl 0.106 0.600 0.168
Cl 0.894 0.400 0.832
Cl 0.626 0.686 0.081
Cl 0.374 0.314 0.919
Cl 0.621 0.837 0.370
Cl 0.379 0.163 0.630
Cl 0.019 0.787 0.930
Cl 0.981 0.213 0.070
CELL_PARAMETERS angstrom
-2.636 -3.418 5.180
1.026 -8.398 -5.333
10.890 3.132 3.810

---

Record 2
! Pm12H5Au3 (PBE, optimized geometry); values from VASP
! **VASP energy**: -4.5554 eV/atom
! **M_tot**: 0.001 μB per cell
&SYSTEM
  ibrav = 0, nat = 80, ntyp = 3
/
ATOMIC_SPECIES
Au 196.97 Au.upf
H 1.01 H.upf
Pm 145.00 Pm.upf
ATOMIC_POSITIONS crystal
Au 0.750 0.375 0.125
Au 0.875 0.750 0.125
Au 0.375 0.750 0.625
Au 0.250 0.125 0.375
Au 0.875 0.125 0.250
Au 0.375 0.625 0.250
Au 0.625 0.375 0.750
Au 0.125 0.875 0.750
Au 0.750 0.875 0.625
Au 0.625 0.250 0.375
Au 0.125 0.250 0.875
Au 0.250 0.625 0.875
H 0.125 0.375 0.250
H 0.000 0.500 0.000
H 0.000 0.000 0.000
H 0.375 0.250 0.125
H 0.500 0.000 0.500
H 0.500 0.500 0.000
H 0.125 0.750 0.375
H 0.750 0.125 0.875
H 0.750 0.625 0.375
H 0.375 0.125 0.750
H 0.625 0.875 0.250
H 0.500 0.500 0.500
H 0.500 0.000 0.000
H 0.000 0.000 0.500
H 0.250 0.375 0.625
H 0.250 0.875 0.125
H 0.000 0.500 0.500
H 0.875 0.250 0.625
H 0.625 0.750 0.875
H 0.875 0.625 0.750
Pm 0.711 0.113 0.019
Pm 0.308 0.519 0.406
Pm 0.981 0.387 0.289
Pm 0.519 0.211 0.113
Pm 0.598 0.711 0.692
Pm 0.981 0.594 0.192
Pm 0.308 0.789 0.402
Pm 0.094 0.902 0.113
Pm 0.594 0.981 0.692
Pm 0.711 0.598 0.192
Pm 0.789 0.481 0.387
Pm 0.808 0.906 0.019
Pm 0.113 0.711 0.519
Pm 0.387 0.406 0.098
Pm 0.098 0.906 0.387
Pm 0.402 0.113 0.594
Pm 0.098 0.192 0.211
Pm 0.481 0.692 0.094
Pm 0.808 0.902 0.289
Pm 0.113 0.402 0.094
Pm 0.387 0.981 0.789
Pm 0.594 0.613 0.402
Pm 0.906 0.808 0.519
Pm 0.789 0.308 0.902
Pm 0.406 0.387 0.598
Pm 0.094 0.192 0.481
Pm 0.211 0.692 0.098
Pm 0.192 0.098 0.711
Pm 0.613 0.019 0.211
Pm 0.887 0.598 0.906
Pm 0.519 0.308 0.906
Pm 0.598 0.887 0.406
Pm 0.902 0.808 0.789
Pm 0.902 0.094 0.613
Pm 0.887 0.289 0.481
Pm 0.192 0.094 0.981
Pm 0.613 0.594 0.902
Pm 0.406 0.019 0.308
Pm 0.289 0.402 0.808
Pm 0.211 0.519 0.613
Pm 0.906 0.098 0.887
Pm 0.692 0.211 0.598
Pm 0.481 0.789 0.887
Pm 0.019 0.406 0.808
Pm 0.402 0.289 0.308
Pm 0.019 0.613 0.711
Pm 0.692 0.481 0.594
Pm 0.289 0.887 0.981
CELL_PARAMETERS angstrom
-11.417 4.371 6.034
8.697 -4.532 9.470
5.726 10.282 -6.881

---

Record 3
! LiTm2ScTe4 (PBE, optimized geometry); values from VASP
! **M_tot**: 0.000 μB per cell
! **Raw formation energy**: -1.218 eV/atom
&SYSTEM
  ibrav = 0, nat = 8, ntyp = 4
/
ATOMIC_SPECIES
Li 6.94 Li.upf
Tm 168.93 Tm.upf
Sc 44.96 Sc.upf
Te 127.60 Te.upf
ATOMIC_POSITIONS crystal
Li 0.000 0.000 0.000
Tm 0.500 0.000 0.500
Tm 0.000 0.500 0.500
Sc 0.500 0.500 0.000
Te 0.500 0.245 0.239
Te 0.500 0.755 0.761
Te 0.000 0.251 0.761
Te 0.000 0.749 0.239
CELL_PARAMETERS angstrom
-2.964 1.296 -2.727
3.672 -3.244 -5.535
-4.743 -4.783 2.882

---

Record 4
! AlSeBr (PBE, optimized geometry); values from VASP
! **M_tot**: 0.000 μB per cell
! **Raw formation energy**: -0.677 eV/atom
&SYSTEM
  ibrav = 0, nat = 3, ntyp = 3
/
ATOMIC_SPECIES
Se 78.96 Se.upf
Br 79.90 Br.upf
Al 26.98 Al.upf
ATOMIC_POSITIONS crystal
Se 0.575 0.575 0.000
Br 0.289 0.289 0.000
Al 0.136 0.136 0.000
CELL_PARAMETERS angstrom
7.794 0.091 0.005
6.179 4.750 -0.005
-6.989 -2.415 2.466

---

Record 5
! SrScPb4 (PBE, optimized geometry); values from VASP
! **Energy of formation from the pure elements**: -0.06 eV per atom
! **M_tot**: 0.000 μB per cell
&SYSTEM
  ibrav = 0, nat = 6, ntyp = 3
/
ATOMIC_SPECIES
Sr 87.62 Sr.upf
Sc 44.96 Sc.upf
Pb 207.20 Pb.upf
ATOMIC_POSITIONS crystal
Sr 0.000 0.000 0.000
Sc 0.750 0.750 0.750
Pb 0.873 0.376 0.376
Pb 0.376 0.376 0.873
Pb 0.376 0.873 0.376
Pb 0.376 0.376 0.376
CELL_PARAMETERS angstrom
0.000 4.596 4.596
4.596 0.000 4.596
4.596 4.596 0.000

---

Record 6
! InIrSe2N (PBE, optimized geometry); values from VASP
! **Energy above the lowest structure with this stoichiometry**: 0.00 kJ/mol of atoms
! **M_tot**: 0.000 μB per cell
! **Raw formation energy**: 0.190 eV/atom
&SYSTEM
  ibrav = 0, nat = 5, ntyp = 4
/
ATOMIC_SPECIES
N 14.01 N.upf
Ir 192.22 Ir.upf
Se 78.96 Se.upf
In 114.82 In.upf
ATOMIC_POSITIONS crystal
N 0.000 0.000 0.500
Ir 0.000 0.000 0.000
Se 0.000 0.500 0.000
Se 0.500 0.000 0.000
In 0.500 0.500 0.500
CELL_PARAMETERS angstrom
5.235 0.000 0.000
0.000 5.235 0.000
0.000 0.000 3.683

---

Record 7
! YHoCS (PBE, optimized geometry); values from VASP
! **M_tot**: 0.000 μB per cell
! **Raw formation energy**: -1.295 eV/atom
&SYSTEM
  ibrav = 0, nat = 4, ntyp = 4
/
ATOMIC_SPECIES
Y 88.91 Y.upf
Ho 164.93 Ho.upf
C 12.01 C.upf
S 32.06 S.upf
ATOMIC_POSITIONS crystal
Y 0.987 0.987 0.038
Ho 0.513 0.513 0.461
C 0.249 0.249 0.252
S 0.751 0.751 0.748
CELL_PARAMETERS angstrom
-1.164 1.817 -3.019
-2.767 -1.386 -2.048
-5.515 3.319 1.842

---

Record 8
! Rb2TlIF4 (PBE, optimized geometry); values from VASP
! **M_tot**: 0.000 μB per cell
! **Raw formation energy**: -1.987 eV/atom
&SYSTEM
  ibrav = 0, nat = 16, ntyp = 4
/
ATOMIC_SPECIES
Rb 85.47 Rb.upf
Tl 204.38 Tl.upf
I 126.90 I.upf
F 19.00 F.upf
ATOMIC_POSITIONS crystal
Rb 0.500 0.000 0.000
Rb 0.500 0.000 0.500
Rb 0.000 0.000 0.500
Rb 0.500 0.500 0.000
Tl 0.000 0.500 0.000
Tl 0.000 0.500 0.500
I 0.500 0.500 0.500
I 0.000 0.000 0.000
F 0.278 0.675 0.958
F 0.825 0.222 0.542
F 0.175 0.778 0.458
F 0.722 0.325 0.042
F 0.789 0.873 0.064
F 0.627 0.711 0.436
F 0.373 0.289 0.564
F 0.211 0.127 0.936
CELL_PARAMETERS angstrom
-3.538 1.905 -7.505
0.713 -8.476 0.349
-4.305 2.757 5.973